No. 1
Material: KAl2Pd
Method: DFT, PBE-GGA
State: optimized geometry

Values from the calculation:
Relative energy among the computed polymorphs (eV/atom): 0.000
Space group: I4_1/amd (141)
Density of states at the Fermi level (states/eV per cell): 4.338
Magnetization (μB/f.u.): 0.00
V (Å³ per atom): 31.41

Cell: 5.7472 5.7472 8.6247 Å, 70.54 70.54 90.00°
With the nearest neighbours (Å) after each atom.
Atoms (fractional coordinates):
1 K 0.5000 0.5000 0.0000  8 Al 3.73, 4 Pd 4.06
2 K 0.2500 0.7500 0.5000  8 Al 3.73, 4 Pd 4.06
3 Al 0.8752 0.1250 0.2500  2 Pd 2.38
4 Al 0.8748 0.6250 0.2500  2 Pd 2.38
5 Al 0.3750 0.1248 0.7500  2 Pd 2.38
6 Al 0.8750 0.1252 0.7500  2 Pd 2.38
7 Pd 0.0000 0.0000 0.0000  4 Al 2.38
8 Pd 0.7500 0.2500 0.5000  4 Al 2.38

***

No. 2
Material: Dy4HoAl
Method: DFT, PBE-GGA
State: optimized geometry

Values from the calculation:
Relative energy among the computed polymorphs (eV/atom): 0.000
Space group: P4/mmm (123)
Density of states at the Fermi level (states/eV per cell): 6.282
Magnetization (μB/f.u.): 0.00
V (Å³ per atom): 28.90

Cell: 3.5196 3.5196 13.9970 Å, 90.00 90.00 90.00°
With the nearest neighbours (Å) after each atom.
Atoms (fractional coordinates):
1 Dy 0.5000 0.5000 0.1793  8 Dy 3.52-3.58, 4 Ho 3.53
2 Dy 0.0000 0.0000 0.6367  4 Al 3.14
3 Dy 0.0000 0.0000 0.3633  4 Al 3.14
4 Dy 0.5000 0.5000 0.8207  8 Dy 3.52-3.58, 4 Ho 3.53
5 Ho 0.0000 0.0000 0.0000  4 Ho 3.52, 8 Dy 3.53
6 Al 0.5000 0.5000 0.5000  8 Dy 3.14

***

No. 3
Material: AgAsIrBr2
Method: DFT, PBE-GGA
State: optimized geometry

Values from the calculation:
Relative energy among the computed polymorphs (eV/atom): 0.000
Space group: P4/mmm (123)
Raw formation energy (eV per atom): 0.395
Density of states at the Fermi level (states/eV per cell): 1.803
Magnetization (μB/f.u.): 0.00
V (Å³ per atom): 26.74

Cell: 5.4041 5.4041 4.5785 Å, 90.00 90.00 90.00°
With the nearest neighbours (Å) after each atom.
Atoms (fractional coordinates):
1 As 0.0000 0.0000 0.5000  2 Ir 2.29
2 Ir 0.0000 0.0000 0.0000  2 As 2.29
3 Br 0.0000 0.5000 0.0000  2 Ir 2.70
4 Br 0.5000 0.0000 0.0000  2 Ir 2.70
5 Ag 0.5000 0.5000 0.5000  8 Br 3.54, 4 As 3.82

***

No. 4
Material: AcZrBi2
Method: DFT, PBE-GGA
State: optimized geometry

Values from the calculation:
Relative energy among the computed polymorphs (eV/atom): 0.562
Space group: R-3m (166)
Density of states at the Fermi level (states/eV per cell): 5.227
Magnetization (μB/f.u.): 0.03
V (Å³ per atom): 32.49

Cell: 3.5364 3.5364 12.1704 Å, 81.65 81.65 60.00°
With the nearest neighbours (Å) after each atom.
Atoms (fractional coordinates):
1 Ac 0.5000 0.5000 0.5000  6 Ac 3.54, 6 Bi 3.62
2 Bi 0.0837 0.0837 0.7490  1 Zr 3.01
3 Bi 0.9163 0.9163 0.2510  1 Zr 3.01
4 Zr 0.0000 0.0000 0.0000  2 Bi 3.01

***

No. 5
Material: CaAlTe2
Method: DFT, PBE-GGA
State: optimized geometry

Values from the calculation:
Space group: P2/m (10)
Raw formation energy (eV per atom): -0.654
Density of states at the Fermi level (states/eV per cell): 1.219
Magnetization (μB/f.u.): 0.00
V (Å³ per atom): 29.06

Cell: 3.8746 4.1071 7.6070 Å, 73.80 90.00 90.00°
With the nearest neighbours (Å) after each atom.
Atoms (fractional coordinates):
1 Ca 0.5000 0.7500 0.7500  8 Te 3.30-3.46
2 Te 0.0000 0.1525 0.0040  2 Al 2.80
3 Te 0.0000 0.3475 0.4960  2 Al 2.80
4 Al 0.5000 0.2500 0.2500  4 Te 2.80

***

No. 6
Material: Sr2CoNi2
Method: DFT, PBE-GGA
State: optimized geometry

Values from the calculation:
Relative energy among the computed polymorphs (eV/atom): 0.000
Space group: P4/mbm (127)
Density of states at the Fermi level (states/eV per cell): 11.037
Magnetization (μB/f.u.): 1.45
V (Å³ per atom): 20.72

Cell: 6.7022 6.7022 4.6137 Å, 90.00 90.00 90.00°
With the nearest neighbours (Å) after each atom.
Atoms (fractional coordinates):
1 Sr 0.1825 0.6825 0.5000  6 Ni 2.92-3.13
2 Sr 0.6825 0.8175 0.5000  6 Ni 2.92-3.13
3 Sr 0.8175 0.3175 0.5000  6 Ni 2.92-3.13
4 Sr 0.3175 0.1825 0.5000  6 Ni 2.92-3.13
5 Co 0.0000 0.0000 0.0000  4 Ni 2.64
6 Co 0.5000 0.5000 0.0000  4 Ni 2.64
7 Ni 0.3716 0.8716 0.0000  1 Ni 2.43, 2 Co 2.64
8 Ni 0.8716 0.6284 0.0000  1 Ni 2.43, 2 Co 2.64
9 Ni 0.6284 0.1284 0.0000  1 Ni 2.43, 2 Co 2.64
10 Ni 0.1284 0.3716 0.0000  1 Ni 2.43, 2 Co 2.64

***

No. 7
Material: Sr2AgBi4Rh3
Method: DFT, PBE-GGA
State: optimized geometry

Values from the calculation:
Raw total energy (eV per atom): -4.756
Space group: P-4m2 (115)
Density of states at the Fermi level (states/eV per cell): 7.355
Magnetization (μB/f.u.): 0.00
V (Å³ per atom): 25.65

Cell: 4.8343 4.8343 10.9737 Å, 90.00 90.00 90.00°
With the nearest neighbours (Å) after each atom.
Atoms (fractional coordinates):
1 Sr 0.5000 0.0000 0.2549  6 Rh 3.62-3.72, 2 Ag 3.62, 8 Bi 3.63-3.70
2 Sr 0.0000 0.5000 0.7451  6 Rh 3.62-3.72, 2 Ag 3.62, 8 Bi 3.63-3.70
3 Ag 0.5000 0.5000 0.5000  4 Bi 2.83
4 Bi 0.5000 0.5000 0.0000  4 Rh 2.76
5 Bi 0.0000 0.0000 0.0000  4 Rh 2.76
6 Bi 0.5000 0.0000 0.6341  3 Rh 2.68-2.83, 2 Ag 2.83
7 Bi 0.0000 0.5000 0.3659  3 Rh 2.68-2.83, 2 Ag 2.83
8 Rh 0.0000 0.0000 0.5000  4 Bi 2.83
9 Rh 0.5000 0.0000 0.8785  5 Bi 2.68-2.76
10 Rh 0.0000 0.5000 0.1215  5 Bi 2.68-2.76

***

No. 8
Material: Nb2BiW
Method: DFT, PBE-GGA
State: optimized geometry

Values from the calculation:
Raw total energy (eV per atom): -8.249
Space group: I-42d (122)
Density of states at the Fermi level (states/eV per cell): 7.161
Magnetization (μB/f.u.): 0.00
V (Å³ per atom): 20.95

Cell: 4.1095 4.1095 10.3388 Å, 78.54 78.54 90.00°
With the nearest neighbours (Å) after each atom.
Atoms (fractional coordinates):
1 Nb 0.6238 0.1250 0.2500  2 W 2.87, 2 Bi 2.88, 4 Nb 2.90-2.91
2 Nb 0.1262 0.6250 0.2500  2 W 2.87, 2 Bi 2.88, 4 Nb 2.90-2.91
3 Nb 0.3750 0.3762 0.7500  2 W 2.87, 2 Bi 2.88, 4 Nb 2.90-2.91
4 Nb 0.8750 0.8738 0.7500  2 W 2.87, 2 Bi 2.88, 4 Nb 2.90-2.91
5 Bi 0.0000 0.0000 0.0000  4 Nb 2.88, 4 W 2.91
6 Bi 0.7500 0.2500 0.5000  4 Nb 2.88, 4 W 2.91
7 W 0.5000 0.5000 0.0000  4 Nb 2.87, 4 Bi 2.91
8 W 0.2500 0.7500 0.5000  4 Nb 2.87, 4 Bi 2.91

***

No. 9
Material: BaInAs
Method: DFT, PBE-GGA
State: optimized geometry

Values from the calculation:
Raw total energy (eV per atom): -3.312
Space group: F-43m (216)
Density of states at the Fermi level (states/eV per cell): 0.097
Magnetization (μB/f.u.): 0.00
V (Å³ per atom): 37.59

Cell: 5.4228 5.4228 5.4228 Å, 60.00 60.00 60.00°
With the nearest neighbours (Å) after each atom.
Atoms (fractional coordinates):
1 As 0.5000 0.5000 0.5000  4 Ba 3.32
2 Ba 0.7500 0.7500 0.7500  4 As 3.32, 4 In 3.32
3 In 0.0000 0.0000 0.0000  4 Ba 3.32

***

No. 10
Material: GdThMgZr
Method: DFT, PBE-GGA
State: optimized geometry

Values from the calculation:
Raw total energy (eV per atom): -7.801
Space group: F-43m (216)
Density of states at the Fermi level (states/eV per cell): 4.580
Magnetization (μB/f.u.): 7.91
V (Å³ per atom): 27.44

Cell: 5.3740 5.3740 5.3740 Å, 60.00 60.00 60.00°
With the nearest neighbours (Å) after each atom.
Atoms (fractional coordinates):
1 Mg 0.0000 0.0000 0.0000  4 Gd 3.29, 4 Th 3.29
2 Gd 0.2500 0.2500 0.2500  4 Zr 3.29, 4 Mg 3.29
3 Zr 0.5000 0.5000 0.5000  4 Gd 3.29, 4 Th 3.29
4 Th 0.7500 0.7500 0.7500  4 Zr 3.29, 4 Mg 3.29

***

No. 11
Material: KTa4Be
Method: DFT, PBE-GGA
State: optimized geometry

Values from the calculation:
Raw total energy (eV per atom): -7.452
Space group: F-43m (216)
Density of states at the Fermi level (states/eV per cell): 6.873
Magnetization (μB/f.u.): 0.00
V (Å³ per atom): 21.07

Cell: 5.6336 5.6336 5.6336 Å, 60.00 60.00 60.00°
With the nearest neighbours (Å) after each atom.
Atoms (fractional coordinates):
1 K 0.0000 0.0000 0.0000  12 Ta 3.30, 4 Be 3.45
2 Ta 0.8785 0.3738 0.3738  6 Ta 2.79-2.84
3 Ta 0.3738 0.3738 0.8785  6 Ta 2.79-2.84
4 Ta 0.3738 0.8785 0.3738  6 Ta 2.79-2.84
5 Ta 0.3738 0.3738 0.3738  6 Ta 2.79-2.84
6 Be 0.7500 0.7500 0.7500  12 Ta 3.31, 4 K 3.45

***

No. 12
Material: OsPb2Se
Method: DFT, PBE-GGA
State: optimized geometry

Values from the calculation:
Space group: I-4m2 (119)
Raw formation energy (eV per atom): 0.814
Density of states at the Fermi level (states/eV per cell): 1.829
Magnetization (μB/f.u.): 0.00
V (Å³ per atom): 22.15

Cell: 4.9774 4.9774 4.9774 Å, 118.91 118.91 91.90°
With the nearest neighbours (Å) after each atom.
Atoms (fractional coordinates):
1 Os 0.7500 0.2500 0.5000  4 Se 3.06, 4 Pb 3.06
2 Pb 0.0000 0.0000 0.0000  4 Pb 3.06, 4 Os 3.06
3 Pb 0.2500 0.7500 0.5000  4 Pb 3.06, 4 Se 3.06
4 Se 0.5000 0.5000 0.0000  4 Pb 3.06, 4 Os 3.06

***

No. 13
Material: Tl2Te2Pt
Method: DFT, PBE-GGA
State: optimized geometry

Values from the calculation:
Space group: Ibam (72)
Raw formation energy (eV per atom): -0.179
Density of states at the Fermi level (states/eV per cell): 4.311
Magnetization (μB/f.u.): 0.00
V (Å³ per atom): 34.13

Cell: 7.6443 6.1561 8.7571 Å, 110.58 115.88 90.00°
With the nearest neighbours (Å) after each atom.
Atoms (fractional coordinates):
1 Tl 0.1651 0.8763 0.3301  3 Te 3.26-3.56, 2 Pt 3.33
2 Tl 0.8349 0.1237 0.6699  3 Te 3.26-3.56, 2 Pt 3.33
3 Tl 0.3349 0.5462 0.6699  3 Te 3.26-3.56, 2 Pt 3.33
4 Tl 0.6651 0.4538 0.3301  3 Te 3.26-3.56, 2 Pt 3.33
5 Te 0.4361 0.1749 0.8721  2 Pt 2.66
6 Te 0.5639 0.8251 0.1279  2 Pt 2.66
7 Te 0.0639 0.3028 0.1279  2 Pt 2.66
8 Te 0.9361 0.6972 0.8721  2 Pt 2.66
9 Pt 0.7500 0.5000 0.0000  4 Te 2.66
10 Pt 0.2500 0.5000 0.0000  4 Te 2.66

***

No. 14
Material: Na2PrSbO4
Method: DFT, PBE-GGA
State: optimized geometry

Values from the calculation:
Space group: P2/m (10)
Raw formation energy (eV per atom): -1.916
Magnetization (μB/f.u.): 0.00
V (Å³ per atom): 15.36

Cell: 3.5517 6.1187 6.0022 Å, 109.62 90.00 90.00°
With the nearest neighbours (Å) after each atom.
Atoms (fractional coordinates):
1 Na 0.5000 0.0000 0.5000  6 O 2.54-2.58
2 Na 0.0000 0.5000 0.5000  6 O 2.59-2.62
3 Pr 0.5000 0.5000 0.0000  6 O 2.41-2.42
4 Sb 0.0000 0.0000 0.0000  6 O 2.34-2.40
5 O 0.5000 0.2377 0.2242  2 Sb 2.40, 1 Pr 2.42, 3 Na 2.54-2.59
6 O 0.5000 0.7623 0.7758  2 Sb 2.40, 1 Pr 2.42, 3 Na 2.54-2.59
7 O 0.0000 0.2540 0.7822  1 Sb 2.34, 2 Pr 2.41, 3 Na 2.58-2.62
8 O 0.0000 0.7460 0.2178  1 Sb 2.34, 2 Pr 2.41, 3 Na 2.58-2.62

***

No. 15
Material: SrGa3C
Method: DFT, PBE-GGA
State: optimized geometry

Values from the calculation:
Relative energy among the computed polymorphs (eV/atom): 0.000
Space group: Pm-3m (221)
Density of states at the Fermi level (states/eV per cell): 2.203
Magnetization (μB/f.u.): 0.00
V (Å³ per atom): 20.27

Cell: 4.6626 4.6626 4.6626 Å, 90.00 90.00 90.00°
With the nearest neighbours (Å) after each atom.
Atoms (fractional coordinates):
1 Sr 0.5000 0.5000 0.5000  12 Ga 3.30
2 C 0.0000 0.0000 0.0000  6 Ga 2.33
3 Ga 0.0000 0.5000 0.0000  2 C 2.33
4 Ga 0.0000 0.0000 0.5000  2 C 2.33
5 Ga 0.5000 0.0000 0.0000  2 C 2.33

***

No. 16
Material: Pm3Er3Si4
Method: DFT, PBE-GGA
State: optimized geometry

Values from the calculation:
Space group: Amm2 (38)
Raw formation energy (eV per atom): -0.704
Density of states at the Fermi level (states/eV per cell): 8.073
Magnetization (μB/f.u.): 0.00
V (Å³ per atom): 24.34

Cell: 4.3103 7.5147 7.5147 Å, 89.43 90.00 90.00°
With the nearest neighbours (Å) after each atom.
Atoms (fractional coordinates):
1 Pm 0.5000 0.8250 0.1750  6 Si 3.11-3.12
2 Pm 0.5000 0.3211 0.3240  6 Si 3.10-3.14
3 Pm 0.5000 0.6760 0.6789  6 Si 3.10-3.14
4 Er 0.0000 0.5010 0.0008  4 Si 2.98-3.05
5 Er 0.0000 0.9992 0.4990  4 Si 2.98-3.05
6 Er 0.5000 0.1768 0.8232  6 Si 3.04-3.08
7 Si 0.0000 0.6131 0.3869  1 Si 2.48
8 Si 0.0000 0.3790 0.6210  1 Si 2.48
9 Si 0.0000 0.8900 0.8811  1 Si 2.45
10 Si 0.0000 0.1189 0.1100  1 Si 2.45

***

No. 17
Material: Nb2CrFe2
Method: DFT, PBE-GGA
State: optimized geometry

Values from the calculation:
Raw total energy (eV per atom): -9.223
Space group: P4/mbm (127)
Density of states at the Fermi level (states/eV per cell): 14.727
Magnetization (μB/f.u.): 0.00
V (Å³ per atom): 14.23

Cell: 5.8931 5.8931 4.0970 Å, 90.00 90.00 90.00°
With the nearest neighbours (Å) after each atom.
Atoms (fractional coordinates):
1 Cr 0.0000 0.0000 0.0000  4 Fe 2.28
2 Cr 0.5000 0.5000 0.0000  4 Fe 2.28
3 Nb 0.1810 0.6810 0.5000  6 Fe 2.55-2.79
4 Nb 0.6810 0.8190 0.5000  6 Fe 2.55-2.79
5 Nb 0.8190 0.3190 0.5000  6 Fe 2.55-2.79
6 Nb 0.3190 0.1810 0.5000  6 Fe 2.55-2.79
7 Fe 0.3625 0.8625 0.0000  2 Cr 2.28, 1 Fe 2.29, 2 Nb 2.55
8 Fe 0.8625 0.6375 0.0000  2 Cr 2.28, 1 Fe 2.29, 2 Nb 2.55
9 Fe 0.6375 0.1375 0.0000  2 Cr 2.28, 1 Fe 2.29, 2 Nb 2.55
10 Fe 0.1375 0.3625 0.0000  2 Cr 2.28, 1 Fe 2.29, 2 Nb 2.55

***

No. 18
Material: FeAsRh2
Method: DFT, PBE-GGA
State: optimized geometry

Values from the calculation:
Raw total energy (eV per atom): -7.040
Space group: Pm (6)
Density of states at the Fermi level (states/eV per cell): 4.935
Magnetization (μB/f.u.): 3.07
V (Å³ per atom): 14.08

Cell: 3.9039 2.8513 5.2593 Å, 74.16 90.00 90.00°
With the nearest neighbours (Å) after each atom.
Atoms (fractional coordinates):
1 As 0.0000 0.7025 0.4675  2 Fe 2.47, 5 Rh 2.50-2.58
2 Fe 0.5000 0.5539 0.7670  2 As 2.47, 5 Rh 2.63-2.66
3 Rh 0.0000 0.9516 0.9737  1 As 2.50, 4 Fe 2.63-2.64
4 Rh 0.5000 0.2921 0.2918  4 As 2.57-2.58, 3 Fe 2.66-2.80, 2 Rh 2.85

***

No. 19
Material: LiFeGe2
Method: DFT, PBE-GGA
State: optimized geometry

Values from the calculation:
Relative energy among the computed polymorphs (eV/atom): 0.000
Space group: P4/mmm (123)
Density of states at the Fermi level (states/eV per cell): 1.845
Magnetization (μB/f.u.): 0.00
V (Å³ per atom): 14.74

Cell: 2.8386 2.8386 7.3164 Å, 90.00 90.00 90.00°
With the nearest neighbours (Å) after each atom.
Atoms (fractional coordinates):
1 Ge 0.0000 0.0000 0.7931  4 Fe 2.51
2 Ge 0.0000 0.0000 0.2069  4 Fe 2.51
3 Fe 0.5000 0.5000 0.0000  8 Ge 2.51
4 Li 0.5000 0.5000 0.5000  4 Li 2.84, 8 Ge 2.94

***

No. 20
Material: As2OsBr
Method: DFT, PBE-GGA
State: optimized geometry

Values from the calculation:
Relative energy among the computed polymorphs (eV/atom): 0.477
Space group: P4mm (99)
Raw formation energy (eV per atom): 0.547
Density of states at the Fermi level (states/eV per cell): 2.403
Magnetization (μB/f.u.): 0.00
V (Å³ per atom): 20.49

Cell: 3.2964 3.2964 7.5432 Å, 90.00 90.00 90.00°
With the nearest neighbours (Å) after each atom.
Atoms (fractional coordinates):
1 As 0.0000 0.0000 0.9649  4 Os 2.57, 4 As 2.77
2 As 0.5000 0.5000 0.1638  1 Os 2.58, 4 As 2.77
3 Os 0.5000 0.5000 0.8213  5 As 2.57-2.58
4 Br 0.0000 0.0000 0.5500  4 Os 3.10, 1 As 3.13, 4 Br 3.30